Compound: Na2Sn4Pd
Source: Alexandria via LeMat-Bulk
Functional: PBE-GGA
Structure: relaxed

Cell: 6.167 13.838 4.961 Å, 90.00 90.00 90.00°
Fractional coordinates of all 14 atoms:
Na  0.000  0.131  0.000
Na  0.000  0.869  0.000
Na  0.500  0.369  0.000
Na  0.500  0.631  0.000
Sn  0.000  0.286  0.500
Sn  0.000  0.398  0.000
Sn  0.000  0.602  0.000
Sn  0.000  0.714  0.500
Sn  0.500  0.102  0.000
Sn  0.500  0.214  0.500
Sn  0.500  0.786  0.500
Sn  0.500  0.898  0.000
Pd  0.000  0.500  0.500
Pd  0.500  0.000  0.500

Calculated values
Calculated total energy (eV per cell): -48.2
Energy of formation (eV/atom): -0.04
Total moment (Bohr magnetons per cell): 0.00
N(E_F) (states/eV per cell): 5.958
Space-group type: No. 65